Entry 1:
# Na3ScF6

A geometry-optimized Na3ScF6 structure (PBE, the Alexandria database).

Cell lengths 5.6524, 5.8760, 9.8982 Å; angles 90.00, 123.91, 90.00 degrees
Space group P2_1/c (No. 14)
One atom of each set of equivalent atoms:
1 Na 0.0000 0.0000 0.0000 [2 per cell]
2 Na 0.2216 0.0551 0.7392 [4 per cell]
3 Sc 0.5000 0.0000 0.5000 [2 per cell]
4 F 0.1517 0.1800 0.4461 [4 per cell]
5 F 0.2478 0.7160 0.4188 [4 per cell]
6 F 0.3989 0.0694 0.2713 [4 per cell]

Results
Polymorph energy (0 for the lowest one) in eV/atom: 0.0000
VASP energy in eV per formula unit: -54.2
Raw formation energy in eV/atom: -3.27



Entry 2:
# NaScF2

A geometry-optimized NaScF2 structure (PBE, the Alexandria database).

Cell lengths 5.3302, 5.3302, 10.2627 Å; angles 90.00, 90.00, 90.00 degrees
Space group I-42d (No. 122)
One atom of each set of equivalent atoms:
1 Na 0.0000 0.0000 0.0000 [4 per cell]
2 Sc 0.0000 0.0000 0.5000 [4 per cell]
3 F 0.2091 0.2500 0.6250 [8 per cell]

Results
Polymorph energy (0 for the lowest one) in eV/atom: 0.3399
VASP energy in eV per formula unit: -20.4
Raw formation energy in eV/atom: -2.25



Entry 3:
# Na2Sc2F

A geometry-optimized Na2Sc2F structure (PBE, the Alexandria database).

Cell lengths 6.1465, 6.1465, 6.4525 Å; angles 90.00, 90.00, 90.00 degrees
Space group P4/mbm (No. 127)
One atom of each set of equivalent atoms:
1 Na 0.1714 0.3286 0.0000 [4 per cell]
2 Sc 0.1690 0.6690 0.5000 [4 per cell]
3 F 0.0000 0.0000 0.5000 [2 per cell]

Results
Polymorph energy (0 for the lowest one) in eV/atom: 0.0000
VASP energy in eV per formula unit: -20.5
Raw formation energy in eV/atom: -0.67



Entry 4:
# NaScF2

A geometry-optimized NaScF2 structure (PBE, the Alexandria database).

Cell lengths 6.0686, 6.0686, 6.0686 Å; angles 90.00, 90.00, 90.00 degrees
Space group Fm-3m (No. 225)
One atom of each set of equivalent atoms:
1 Na 0.0000 0.0000 0.0000 [4 per cell]
2 Sc 0.0000 0.0000 0.5000 [4 per cell]
3 F 0.2500 0.2500 0.2500 [8 per cell]

Results
Polymorph energy (0 for the lowest one) in eV/atom: 0.7909
VASP energy in eV per formula unit: -18.6
Raw formation energy in eV/atom: -1.80



Entry 5:
# Na3ScF6

A geometry-optimized Na3ScF6 structure (PBE, the Alexandria database).

Cell lengths 9.6207, 9.6207, 11.4039 Å; angles 90.00, 90.00, 120.00 degrees
Space group R-3c (No. 167, hexagonal axes)
One atom of each set of equivalent atoms:
1 Na 0.0000 0.3114 0.2500 [18 per cell]
2 Sc 0.0000 0.0000 0.0000 [6 per cell]
3 F 0.0528 0.2002 0.4060 [36 per cell]

Results
Polymorph energy (0 for the lowest one) in eV/atom: 0.0232
VASP energy in eV per formula unit: -54.0
Raw formation energy in eV/atom: -3.25



Entry 6:
# Na3ScF6

A geometry-optimized Na3ScF6 structure (PBE, the Alexandria database).

Cell lengths 8.4197, 8.4197, 8.4197 Å; angles 90.00, 90.00, 90.00 degrees
Space group Fm-3m (No. 225)
One atom of each set of equivalent atoms:
1 Na 0.0000 0.0000 0.0000 [4 per cell]
2 Na 0.2500 0.2500 0.2500 [8 per cell]
3 Sc 0.0000 0.0000 0.5000 [4 per cell]
4 F 0.0000 0.0000 0.2608 [24 per cell]

Results
Polymorph energy (0 for the lowest one) in eV/atom: 0.1025
VASP energy in eV per formula unit: -53.2
Raw formation energy in eV/atom: -3.17



Entry 7:
# Na3ScF

A geometry-optimized Na3ScF structure (PBE, the Alexandria database).

Cell lengths 6.4560, 6.4560, 6.4560 Å; angles 90.00, 90.00, 90.00 degrees
Space group Pm-3m (No. 221)
One atom of each set of equivalent atoms:
1 Na 0.0000 0.0000 0.5000 [3 per cell]
2 Sc 0.0000 0.0000 0.0000 [1 per cell]
3 F 0.5000 0.5000 0.5000 [1 per cell]

Results
Polymorph energy (0 for the lowest one) in eV/atom: 0.9587
VASP energy in eV per formula unit: -10.1
Raw formation energy in eV/atom: 0.41



Entry 8:
# Na6ScF12

A geometry-optimized Na6ScF12 structure (PBE, the Alexandria database).

Cell lengths 10.0579, 10.0579, 9.3692 Å; angles 90.00, 90.00, 120.00 degrees
Space group R-3 (No. 148, hexagonal axes)
One atom of each set of equivalent atoms:
1 Na 0.0579 0.5836 0.3258 [18 per cell]
2 Sc 0.0000 0.0000 0.0000 [3 per cell]
3 F 0.0406 0.8504 0.8882 [18 per cell]
4 F 0.0817 0.8335 0.3926 [18 per cell]

Results
VASP energy in eV per formula unit: -85.4
Raw formation energy in eV/atom: -2.56



Entry 9:
# Na2ScF4

A geometry-optimized Na2ScF4 structure (PBE, the Alexandria database).

Cell lengths 4.1694, 4.1694, 13.2820 Å; angles 90.00, 90.00, 90.00 degrees
Space group I4/mmm (No. 139)
One atom of each set of equivalent atoms:
1 Na 0.0000 0.0000 0.1723 [4 per cell]
2 Sc 0.0000 0.0000 0.5000 [2 per cell]
3 F 0.0000 0.0000 0.3463 [4 per cell]
4 F 0.0000 0.5000 0.0000 [4 per cell]

Results
Polymorph energy (0 for the lowest one) in eV/atom: 0.0345
VASP energy in eV per formula unit: -36.9
Raw formation energy in eV/atom: -2.92



Entry 10:
# Na3ScF

A geometry-optimized Na3ScF structure (PBE, the Alexandria database).

Cell lengths 4.9748, 4.9748, 4.9748 Å; angles 90.00, 90.00, 90.00 degrees
Space group Pm-3m (No. 221)
One atom of each set of equivalent atoms:
1 Na 0.0000 0.0000 0.5000 [3 per cell]
2 Sc 0.5000 0.5000 0.5000 [1 per cell]
3 F 0.0000 0.0000 0.0000 [1 per cell]

Results
Polymorph energy (0 for the lowest one) in eV/atom: 0.0000
VASP energy in eV per formula unit: -14.9
Raw formation energy in eV/atom: -0.55



Entry 11:
# NaSc4F12

A geometry-optimized NaSc4F12 structure (PBE, the Alexandria database).

Cell lengths 8.0279, 8.1463, 8.1545 Å; angles 90.00, 90.00, 90.00 degrees
Space group Immm (No. 71)
One atom of each set of equivalent atoms:
1 Na 0.0000 0.0000 0.0000 [2 per cell]
2 Sc 0.2500 0.2500 0.2500 [8 per cell]
3 F 0.0000 0.2860 0.2843 [8 per cell]
4 F 0.2012 0.0000 0.2432 [8 per cell]
5 F 0.2027 0.2423 0.0000 [8 per cell]

Results
VASP energy in eV per formula unit: -112.5
Raw formation energy in eV/atom: -3.73



Entry 12:
# NaSc2F

A geometry-optimized NaSc2F structure (PBE, the Alexandria database).

Cell lengths 7.0727, 7.0727, 7.0727 Å; angles 90.00, 90.00, 90.00 degrees
Space group Fm-3m (No. 225)
One atom of each set of equivalent atoms:
1 Na 0.0000 0.0000 0.0000 [4 per cell]
2 Sc 0.2500 0.2500 0.2500 [8 per cell]
3 F 0.0000 0.0000 0.5000 [4 per cell]

Results
VASP energy in eV per formula unit: -16.2
Raw formation energy in eV/atom: -0.08